Record 1
Below is a geometry-optimized ZrCo3 structure, with properties calculated at the GGA-PBE level.

The structure in POSCAR format:
```
ZrCo3
1.0
-3.3493 3.4179 0.3868
-3.4372 -3.3053 -0.5565
-0.1299 -0.6651 4.7529
Zr Co
2 6
Cartesian
0.0000 0.0000 0.0000
-3.4582 -0.2763 2.2916
-0.9243 -1.1589 2.2373
-2.6429 -2.8115 1.9591
-2.5559 -0.7982 -0.1815
-1.7071 1.5427 1.3816
-1.7720 1.2101 3.7580
-4.2306 0.9108 0.0118
```

E = -7.46 eV per atom
Energy of formation from the pure elements = 0.26 kcal/mol of atoms
SG = Pm-3n (223)


Record 2
Below is a geometry-optimized Sr2Sn4PdPt3 structure, with properties calculated at the GGA-PBE level.

The structure in POSCAR format:
```
Sr2Sn4PdPt3
1.0
4.6788 0.0000 0.0000
0.0000 4.6788 0.0000
0.0000 0.0000 10.8276
Sr Sn Pd Pt
2 4 1 3
Cartesian
2.3394 0.0000 2.7608
0.0000 2.3394 8.0669
2.3394 2.3394 0.0000
0.0000 0.0000 0.0000
2.3394 0.0000 6.7453
0.0000 2.3394 4.0823
2.3394 2.3394 5.4138
0.0000 0.0000 5.4138
2.3394 0.0000 9.4182
0.0000 2.3394 1.4094
```

E = -5.06 eV per atom
Energy of formation from the pure elements = -18.30 kcal/mol of atoms
SG = P-4m2 (115)


Record 3
Below is a geometry-optimized SrTl2PtPb structure, with properties calculated at the GGA-PBE level.

The structure in POSCAR format:
```
SrTl2PtPb
1.0
5.3196 0.0000 0.0000
0.0000 5.3196 0.0000
0.0000 0.0000 5.7906
Pb Sr Tl Pt
1 1 2 1
Cartesian
2.6598 2.6598 2.8953
0.0000 0.0000 2.8953
0.0000 2.6598 0.0000
2.6598 0.0000 0.0000
0.0000 0.0000 0.0000
```

E = -3.44 eV per atom
Energy of formation from the pure elements = -4.83 kcal/mol of atoms
SG = P4/mmm (123)


Record 4
Below is a geometry-optimized CdAgSb2 structure, with properties calculated at the GGA-PBE level.

The structure in POSCAR format:
```
CdAgSb2
1.0
3.2592 -0.2985 0.0000
-1.4189 2.9492 0.0000
0.0000 0.0000 10.6788
Sb Ag Cd
2 1 1
Cartesian
0.0000 0.0000 10.4535
0.9201 1.3254 3.0063
0.0000 0.0000 5.4463
0.9201 1.3254 7.7909
```

E = -2.86 eV per atom
ΔE to the lowest computed polymorph = 0.068 eV per atom
SG = Cmm2 (35)
Raw formation energy = 0.58 eV/f.u.


Record 5
Below is a geometry-optimized Mn2ReNi structure, with properties calculated at the GGA-PBE level.

The structure in POSCAR format:
```
Mn2ReNi
1.0
-2.1396 1.1623 -0.8846
-1.4222 -2.0096 0.8063
-0.9260 3.2862 6.5574
Mn Ni Re
2 1 1
Cartesian
-0.0142 0.0503 0.1003
-2.0089 0.3854 1.5753
-0.4553 1.6158 3.2241
-2.4725 2.0306 4.8581
```

E = -9.09 eV per atom
Energy of formation from the pure elements = 1.18 kcal/mol of atoms
SG = P4mm (99)


Record 6
Below is a geometry-optimized La3Tb5Tm4 structure, with properties calculated at the GGA-PBE level.

The structure in POSCAR format:
```
La3Tb5Tm4
1.0
-4.2404 0.5230 3.8430
-6.4373 -7.0404 -1.8482
3.7742 -0.5793 8.5399
La Tb Tm
3 5 4
Cartesian
-5.2707 -5.0783 3.4685
-1.3315 -3.8099 3.3458
-1.6328 -2.0184 7.0661
-5.9818 -6.7048 7.2017
-3.4517 -3.5484 5.2673
-3.4030 -2.6352 0.9002
-3.5004 -4.4615 9.6344
-0.9217 -0.3919 3.3329
1.5605 -1.4188 6.2115
-2.5477 -6.0843 6.6100
-4.3558 -1.0124 3.9246
-8.4640 -5.6779 4.3231
```

E = -4.39 eV per atom
Energy of formation from the pure elements = 6.12 kcal/mol of atoms
SG = C2/m (12)


Record 7
Below is a geometry-optimized KInAgTe2 structure, with properties calculated at the GGA-PBE level.

The structure in POSCAR format:
```
KInAgTe2
1.0
6.0394 0.0000 0.0000
0.0000 7.9792 0.7255
0.0000 -1.7422 6.7027
K In Ag Te
2 2 2 4
Cartesian
1.4037 2.6830 5.3898
4.6357 3.5541 2.0384
3.6525 -0.4355 1.6757
2.3869 -1.3066 5.0271
0.0000 0.0000 0.0000
0.0000 -0.8711 3.3514
4.3713 4.5118 6.1650
4.3713 0.8542 4.6146
1.6681 5.3829 2.8136
1.6681 1.7253 1.2633
```

E = -3.02 eV per atom
SG = P2/c (13)
Raw formation energy = -2.11 eV/f.u.


Record 8
Below is a geometry-optimized CeSc2Pa structure, with properties calculated at the GGA-PBE level.

The structure in POSCAR format:
```
CeSc2Pa
1.0
5.2835 0.0000 0.0000
2.6417 4.5756 0.0000
2.6417 1.5252 4.3140
Sc Pa Ce
2 1 1
Cartesian
2.6417 1.5252 1.0785
7.9252 4.5756 3.2355
0.0000 0.0000 0.0000
5.2835 3.0504 2.1570
```

E = -6.74 eV per atom
ΔE to the lowest computed polymorph = 0.212 eV per atom
Energy of formation from the pure elements = 6.60 kcal/mol of atoms
SG = Fm-3m (225)


Record 9
Below is a geometry-optimized HoGePd6 structure, with properties calculated at the GGA-PBE level.

The structure in POSCAR format:
```
HoGePd6
1.0
-0.9668 -2.8049 2.7944
-0.9027 -2.6446 -2.9668
7.4244 -2.5474 0.0118
Ho Ge Pd
1 1 6
Cartesian
0.0000 0.0000 0.0000
3.7122 -1.2737 0.0059
-0.9347 -2.7247 -0.0862
2.7774 -3.9984 -0.0803
1.4934 -2.0807 1.4003
4.9641 -3.2715 1.4058
1.5255 -2.0006 -1.4803
4.9962 -3.1914 -1.4748
```

E = -5.67 eV per atom
ΔE to the lowest computed polymorph = 0.000 eV per atom
Energy of formation from the pure elements = -14.52 kcal/mol of atoms
SG = P4/mmm (123)